Entry 1:
The following is a PBE calculation of a relaxed structure of HoCdCuHg, from the Alexandria database.

Results
Total DFT energy (no corrections): -2.734 eV/atom
Density of states at the Fermi level: 1.74 states/eV per cell

```
HoCdCuHg
1.0
0.000 3.460 3.460
3.460 0.000 3.460
3.460 3.460 0.000
Ho Cd Cu Hg
1 1 1 1
Direct
0.000 0.000 0.000
0.500 0.500 0.500
0.750 0.750 0.750
0.250 0.250 0.250
```

***

Entry 2:
The following is a PBE calculation of a relaxed structure of NdSm14Pb, from the Alexandria database.

Results
Total DFT energy (no corrections): -4.705 eV/atom
Density of states at the Fermi level: 23.16 states/eV per cell

```
NdSm14Pb
1.0
11.520 0.000 0.000
0.000 3.659 6.323
0.000 -3.659 6.323
Nd Sm Pb
1 14 1
Direct
0.000 0.000 0.000
0.000 0.000 0.521
0.000 0.521 0.000
0.239 0.344 0.344
0.239 0.345 0.834
0.239 0.834 0.345
0.263 0.841 0.841
0.500 0.013 0.013
0.500 0.013 0.498
0.500 0.498 0.013
0.500 0.508 0.508
0.737 0.841 0.841
0.761 0.344 0.344
0.761 0.345 0.834
0.761 0.834 0.345
0.000 0.508 0.508
```

***

Entry 3:
The following is a PBE calculation of a relaxed structure of Sr2MgPb6, from the Alexandria database.

Results
Total DFT energy (no corrections): -3.258 eV/atom
Density of states at the Fermi level: 6.10 states/eV per cell

```
Sr2MgPb6
1.0
6.428 -3.741 0.000
6.428 3.741 0.000
-4.251 0.000 6.135
Sr Mg Pb
2 1 6
Direct
0.250 0.250 0.247
0.750 0.750 0.753
0.500 0.500 0.000
0.221 0.776 0.721
0.223 0.223 0.721
0.224 0.779 0.279
0.776 0.221 0.721
0.777 0.777 0.279
0.779 0.224 0.279
```

***

Entry 4:
The following is a PBE calculation of a relaxed structure of LaTiAlV, from the Alexandria database.

Results
Relative energy among the computed polymorphs: 0.41 eV/f.u.
Density of states at the Fermi level: 3.43 states/eV per cell

```
LaTiAlV
1.0
2.273 1.313 5.209
-2.273 1.313 5.209
0.000 -2.625 5.209
La Ti Al V
1 1 1 1
Direct
0.000 0.000 0.000
0.197 0.197 0.197
0.796 0.796 0.796
0.473 0.473 0.473
```

***

Entry 5:
The following is a PBE calculation of a relaxed structure of HoTm6Sc4, from the Alexandria database.

Results
Relative energy among the computed polymorphs: 0.00 eV/f.u.
Density of states at the Fermi level: 15.36 states/eV per cell

```
HoTm6Sc4
1.0
-3.145 3.145 8.225
3.145 -3.145 8.225
3.145 3.145 -8.225
Ho Tm Sc
1 6 4
Direct
0.000 0.000 0.000
0.000 0.500 0.500
0.011 0.635 0.000
0.365 0.365 0.376
0.500 0.000 0.500
0.635 0.011 0.000
0.989 0.989 0.624
0.196 0.196 0.649
0.453 0.804 0.000
0.547 0.547 0.351
0.804 0.453 0.000
```

***

Entry 6:
The following is a PBE calculation of a relaxed structure of MgRhAu, from the Alexandria database.

Results
Relative energy among the computed polymorphs: 0.37 eV/f.u.
Density of states at the Fermi level: 3.27 states/eV per cell

```
MgRhAu
1.0
4.456 0.000 0.000
-2.228 3.859 0.000
0.000 0.000 2.868
Mg Rh Au
1 1 1
Direct
0.000 0.000 0.000
0.333 0.667 0.298
0.667 0.333 0.717
```

***

Entry 7:
The following is a PBE calculation of a relaxed structure of CrInOs2Pb, from the Alexandria database.

Results
Total DFT energy (no corrections): -5.329 eV/atom
Density of states at the Fermi level: 7.61 states/eV per cell

```
CrInOs2Pb
1.0
4.911 0.000 0.000
0.000 4.911 0.000
0.000 0.000 4.774
Cr In Os Pb
1 1 2 1
Direct
0.000 0.000 0.000
0.000 0.000 0.500
0.000 0.500 0.500
0.500 0.000 0.500
0.500 0.500 0.000
```

***

Entry 8:
The following is a PBE calculation of a relaxed structure of PmDy2HoTl2, from the Alexandria database.

Results
Total DFT energy (no corrections): -4.147 eV/atom
Density of states at the Fermi level: 12.16 states/eV per cell

```
PmDy2HoTl2
1.0
5.130 0.000 0.000
0.000 10.026 0.000
0.000 0.000 6.842
Pm Dy Ho Tl
2 4 2 4
Direct
0.000 0.043 0.000
0.000 0.957 0.500
0.000 0.317 0.377
0.000 0.683 0.877
0.500 0.456 0.092
0.500 0.544 0.592
0.500 0.191 0.720
0.500 0.809 0.220
0.000 0.366 0.838
0.000 0.634 0.338
0.500 0.136 0.261
0.500 0.864 0.761
```

***

Entry 9:
The following is a PBE calculation of a relaxed structure of SiTeI, from the Alexandria database.

Results
Relative energy among the computed polymorphs: 0.00 eV/f.u.
Formation energy without anion corrections: -0.1640 eV per atom

```
SiTeI
1.0
3.947 0.000 0.000
-1.934 7.809 0.000
-1.966 -2.209 8.284
Si Te I
2 2 2
Direct
0.100 0.061 0.141
0.900 0.939 0.859
0.392 0.056 0.727
0.608 0.944 0.273
0.284 0.386 0.191
0.716 0.614 0.809
```

***

Entry 10:
The following is a PBE calculation of a relaxed structure of NdCuPt, from the Alexandria database.

Results
Relative energy among the computed polymorphs: 0.62 eV/f.u.
Density of states at the Fermi level: 1.09 states/eV per cell

```
NdCuPt
1.0
-1.846 1.846 4.488
1.846 -1.846 4.488
1.846 1.846 -4.488
Nd Cu Pt
1 1 1
Direct
0.000 0.000 0.000
0.682 0.682 0.000
0.335 0.335 0.000
```

***

Entry 11:
The following is a PBE calculation of a relaxed structure of MgUAgS4, from the Alexandria database.

Results
Formation energy without anion corrections: -1.0479 eV per atom
Density of states at the Fermi level: 9.51 states/eV per cell

```
MgUAgS4
1.0
-3.820 4.034 5.283
3.820 -4.034 5.283
3.820 4.034 -5.283
Mg U Ag S
2 2 2 8
Direct
0.500 0.000 0.000
0.500 0.500 0.500
0.000 0.000 0.000
0.500 0.000 0.500
0.098 0.348 0.750
0.902 0.652 0.250
0.248 0.226 0.478
0.248 0.770 0.022
0.276 0.243 0.032
0.289 0.757 0.532
0.711 0.243 0.468
0.724 0.757 0.968
0.752 0.230 0.978
0.752 0.774 0.522
```

***

Entry 12:
The following is a PBE calculation of a relaxed structure of Sr3Tb3SmS8, from the Alexandria database.

Results
Formation energy without anion corrections: -2.0782 eV per atom
Density of states at the Fermi level: 4.75 states/eV per cell

```
Sr3Tb3SmS8
1.0
4.027 2.325 6.864
-4.027 2.325 6.864
0.000 -4.650 6.864
Sr Tb Sm S
3 3 1 8
Direct
0.000 0.500 0.500
0.500 0.000 0.500
0.500 0.500 0.000
0.000 0.000 0.500
0.000 0.500 0.000
0.500 0.000 0.000
0.500 0.500 0.500
0.239 0.744 0.744
0.243 0.243 0.243
0.256 0.256 0.761
0.256 0.761 0.256
0.744 0.239 0.744
0.744 0.744 0.239
0.757 0.757 0.757
0.761 0.256 0.256
```

***

Entry 13:
The following is a PBE calculation of a relaxed structure of BeCd4Se, from the Alexandria database.

Results
Formation energy without anion corrections: 0.5096 eV per atom
Density of states at the Fermi level: 3.29 states/eV per cell

```
BeCd4Se
1.0
0.000 4.065 4.065
4.065 0.000 4.065
4.065 4.065 0.000
Be Cd Se
1 4 1
Direct
0.000 0.000 0.000
0.124 0.625 0.625
0.625 0.124 0.625
0.625 0.625 0.124
0.625 0.625 0.625
0.250 0.250 0.250
```

***

Entry 14:
The following is a PBE calculation of a relaxed structure of LaMgZrSc, from the Alexandria database.

Results
Total DFT energy (no corrections): -5.230 eV/atom
Density of states at the Fermi level: 5.23 states/eV per cell

```
LaMgZrSc
1.0
0.000 3.743 3.743
3.743 0.000 3.743
3.743 3.743 0.000
La Mg Zr Sc
1 1 1 1
Direct
0.000 0.000 0.000
0.750 0.750 0.750
0.500 0.500 0.500
0.250 0.250 0.250
```

***

Entry 15:
The following is a PBE calculation of a relaxed structure of Zr4IrRu, from the Alexandria database.

Results
Relative energy among the computed polymorphs: 0.00 eV/f.u.
Density of states at the Fermi level: 6.29 states/eV per cell

```
Zr4IrRu
1.0
3.220 -3.238 0.000
3.220 3.238 0.000
-0.504 0.000 6.417
Zr Ir Ru
4 1 1
Direct
0.011 0.511 0.751
0.489 0.989 0.249
0.511 0.011 0.751
0.989 0.489 0.249
0.000 0.000 0.500
0.500 0.500 0.000
```

***

Entry 16:
The following is a PBE calculation of a relaxed structure of ScCSe2N, from the Alexandria database.

Results
Relative energy among the computed polymorphs: 0.00 eV/f.u.
Formation energy without anion corrections: 0.3576 eV per atom
Density of states at the Fermi level: 1.14 states/eV per cell

```
ScCSe2N
1.0
5.550 0.000 0.000
0.000 5.550 0.000
0.000 0.000 2.586
Sc C Se N
1 1 2 1
Direct
0.000 0.000 0.000
0.500 0.500 0.500
0.000 0.500 0.500
0.500 0.000 0.500
0.500 0.500 0.000
```

***

Entry 17:
The following is a PBE calculation of a relaxed structure of MgTl2Hg12, from the Alexandria database.

Results
Total DFT energy (no corrections): -0.670 eV/atom
Density of states at the Fermi level: 6.69 states/eV per cell

```
MgTl2Hg12
1.0
6.237 0.000 0.000
0.000 6.237 0.000
0.000 0.000 22.317
Mg Tl Hg
2 4 24
Direct
0.250 0.750 0.000
0.750 0.250 0.000
0.250 0.750 0.240
0.250 0.750 0.760
0.750 0.250 0.240
0.750 0.250 0.760
0.000 0.000 0.089
0.000 0.000 0.911
0.000 0.500 0.089
0.000 0.500 0.911
0.059 0.559 0.432
0.059 0.941 0.568
0.250 0.250 0.192
0.250 0.250 0.329
0.250 0.250 0.671
0.250 0.250 0.808
0.441 0.559 0.568
0.441 0.941 0.432
0.500 0.000 0.089
0.500 0.000 0.911
0.500 0.500 0.089
0.500 0.500 0.911
0.559 0.059 0.568
0.559 0.441 0.432
0.750 0.750 0.192
0.750 0.750 0.329
0.750 0.750 0.671
0.750 0.750 0.808
0.941 0.059 0.432
0.941 0.441 0.568
```

***

Entry 18:
The following is a PBE calculation of a relaxed structure of Sb5Pt3, from the Alexandria database.

Results
Formation energy without anion corrections: -0.0062 eV per atom
Density of states at the Fermi level: 2.43 states/eV per cell

```
Sb5Pt3
1.0
3.856 -5.383 0.000
3.856 5.383 0.000
0.000 0.000 4.407
Sb Pt
5 3
Direct
0.000 0.000 0.000
0.000 0.500 0.000
0.278 0.278 0.500
0.500 0.000 0.000
0.722 0.722 0.500
0.306 0.694 0.500
0.500 0.500 0.000
0.694 0.306 0.500
```

***

Entry 19:
The following is a PBE calculation of a relaxed structure of Mn2FeH4, from the Alexandria database.

Results
Total DFT energy (no corrections): -5.623 eV/atom
Density of states at the Fermi level: 2.38 states/eV per cell

```
Mn2FeH4
1.0
-2.137 2.137 2.810
2.137 -2.137 2.810
2.137 2.137 -2.810
Mn Fe H
2 1 4
Direct
0.250 0.750 0.500
0.750 0.250 0.500
0.000 0.000 0.000
0.269 0.269 0.537
0.269 0.731 0.000
0.731 0.269 0.000
0.731 0.731 0.463
```

***

Entry 20:
The following is a PBE calculation of a relaxed structure of Al2PBr, from the Alexandria database.

Results
Relative energy among the computed polymorphs: 1.26 eV/f.u.
Formation energy without anion corrections: 0.0520 eV per atom
Density of states at the Fermi level: 1.39 states/eV per cell

```
Al2PBr
1.0
1.856 -3.058 0.000
1.856 3.058 0.000
0.000 0.000 7.434
Al P Br
2 1 1
Direct
0.000 0.000 0.209
0.000 0.000 0.791
0.500 0.500 0.000
0.500 0.500 0.500
```

***

Entry 21:
The following is a PBE calculation of a relaxed structure of PuCo4Pb, from the Alexandria database.

Results
Total DFT energy (no corrections): -7.713 eV/atom
Density of states at the Fermi level: 8.00 states/eV per cell

```
PuCo4Pb
1.0
0.000 3.565 3.565
3.565 0.000 3.565
3.565 3.565 0.000
Pu Co Pb
1 4 1
Direct
0.000 0.000 0.000
0.126 0.625 0.625
0.625 0.126 0.625
0.625 0.625 0.126
0.625 0.625 0.625
0.250 0.250 0.250
```

***

Entry 22:
The following is a PBE calculation of a relaxed structure of KInI3, from the Alexandria database.

Results
Formation energy without anion corrections: -0.8536 eV per atom

```
KInI3
1.0
5.290 0.000 0.000
-0.105 9.750 0.000
-0.651 -4.792 9.119
K In I
2 2 6
Direct
0.000 0.000 0.000
0.353 0.524 0.473
0.205 0.457 0.895
0.384 0.995 0.495
0.017 0.599 0.168
0.470 0.205 0.882
0.474 0.691 0.870
0.524 0.142 0.260
0.869 0.810 0.584
0.932 0.319 0.622
```

***

Entry 23:
The following is a PBE calculation of a relaxed structure of CsUTlS3, from the Alexandria database.

Results
Formation energy without anion corrections: -1.0653 eV per atom
Density of states at the Fermi level: 13.06 states/eV per cell

```
CsUTlS3
1.0
3.880 -7.700 0.000
3.880 7.700 0.000
-1.277 0.000 7.171
Cs U Tl S
2 2 2 6
Direct
0.246 0.754 0.750
0.754 0.246 0.250
0.447 0.553 0.250
0.553 0.447 0.750
0.081 0.919 0.250
0.919 0.081 0.750
0.246 0.319 0.495
0.283 0.717 0.250
0.319 0.246 0.995
0.681 0.754 0.005
0.717 0.283 0.750
0.754 0.681 0.505
```

***

Quick rundown of size of the total moment, same order as above: 0.00 0.00 0.00 0.75 0.00 0.09 0.26 0.00 0.00 0.00 0.14 0.00 0.00 0.29 0.00 0.00 0.00 0.00 1.15 0.00 0.09 0.00 0.33 μB/atom